This record from the Alexandria database describes crystalline LiVInO4 at its relaxed geometry. The functional is PBE with a Hubbard U.

Unit cell a=6.350 b=6.134 c=6.134 alpha=59.16 beta=58.83 gamma=58.83
Fractional coordinates of all 14 atoms:
1 Li 0.000 0.000 0.000
2 Li 0.000 0.500 0.500
3 V 0.628 0.622 0.122
4 V 0.372 0.378 0.878
5 In 0.500 0.000 0.500
6 In 0.000 0.000 0.500
7 O 0.759 0.741 0.741
8 O 0.241 0.759 0.759
9 O 0.759 0.241 0.241
10 O 0.241 0.259 0.259
11 O 0.273 0.747 0.247
12 O 0.732 0.747 0.247
13 O 0.268 0.253 0.753
14 O 0.727 0.253 0.753

Space group: No. 74
Total moment, μB per formula unit: 1.00
Raw total energy, eV/atom: -6.35



This record from the Alexandria database describes crystalline LiInW2O8 at its relaxed geometry. The functional is PBE with a Hubbard U.

Unit cell a=7.649 b=7.649 c=5.080 alpha=88.91 beta=88.91 gamma=101.04
Fractional coordinates of all 24 atoms:
1 Li 0.848 0.152 0.250
2 Li 0.152 0.848 0.750
3 In 0.332 0.668 0.250
4 In 0.668 0.332 0.750
5 W 0.842 0.670 0.246
6 W 0.330 0.158 0.254
7 W 0.158 0.330 0.754
8 W 0.670 0.842 0.746
9 O 0.698 0.590 0.933
10 O 0.410 0.302 0.567
11 O 0.302 0.410 0.067
12 O 0.590 0.698 0.433
13 O 0.808 0.444 0.395
14 O 0.556 0.192 0.105
15 O 0.192 0.556 0.605
16 O 0.444 0.808 0.895
17 O 0.195 0.095 0.944
18 O 0.905 0.805 0.556
19 O 0.805 0.905 0.056
20 O 0.095 0.195 0.444
21 O 0.308 0.934 0.398
22 O 0.066 0.692 0.102
23 O 0.692 0.066 0.602
24 O 0.934 0.308 0.898

Space group: No. 15
Total moment, μB per formula unit: 0.00
Raw total energy, eV/atom: -6.85
DOS at the Fermi energy, states/eV/cell: 0.00